Record 1
{"formula": "Tb12Y7Ho", "functional": "PBE", "state": "relaxed", "delta_e_f_ev_per_atom": 0.32, "lattice": [[9.298, 5.368, 2.238], [-9.298, 5.368, 2.238], [0.000, -10.737, 2.238]], "species": ["Tb", "Tb", "Tb", "Tb", "Tb", "Tb", "Tb", "Tb", "Tb", "Tb", "Tb", "Tb", "Y", "Y", "Y", "Y", "Y", "Y", "Y", "Ho"], "frac_coords": [[0.017, 0.230, 0.444], [0.227, 0.752, 0.288], [0.230, 0.444, 0.017], [0.248, 0.712, 0.773], [0.288, 0.227, 0.752], [0.444, 0.017, 0.230], [0.556, 0.983, 0.770], [0.712, 0.773, 0.248], [0.752, 0.288, 0.227], [0.770, 0.556, 0.983], [0.773, 0.248, 0.712], [0.983, 0.770, 0.556], [0.000, 0.000, 0.000], [0.114, 0.419, 0.273], [0.273, 0.114, 0.419], [0.419, 0.273, 0.114], [0.581, 0.727, 0.886], [0.727, 0.886, 0.581], [0.886, 0.581, 0.727], [0.500, 0.500, 0.500]]}

Record 2
{"formula": "Mn2Ni13", "functional": "PBE", "state": "relaxed", "delta_e_f_ev_per_atom": 0.46, "lattice": [[3.252, 1.878, 5.810], [-3.252, 1.878, 5.810], [0.000, -3.756, 5.810]], "species": ["Mn", "Mn", "Ni", "Ni", "Ni", "Ni", "Ni", "Ni", "Ni", "Ni", "Ni", "Ni", "Ni", "Ni", "Ni"], "frac_coords": [[0.236, 0.236, 0.236], [0.764, 0.764, 0.764], [0.000, 0.000, 0.000], [0.016, 0.016, 0.646], [0.016, 0.646, 0.016], [0.236, 0.236, 0.607], [0.236, 0.607, 0.236], [0.354, 0.984, 0.984], [0.393, 0.764, 0.764], [0.607, 0.236, 0.236], [0.646, 0.016, 0.016], [0.764, 0.393, 0.764], [0.764, 0.764, 0.393], [0.984, 0.354, 0.984], [0.984, 0.984, 0.354]]}

Record 3
{"formula": "W5Au", "functional": "PBE", "state": "relaxed", "delta_e_f_ev_per_atom": 0.76, "lattice": [[5.319, 0.000, 0.000], [-2.660, 4.607, 0.000], [0.000, 0.000, 4.490]], "species": ["W", "W", "W", "W", "W", "Au"], "frac_coords": [[0.000, 0.500, 0.000], [0.333, 0.667, 0.500], [0.500, 0.000, 0.000], [0.500, 0.500, 0.000], [0.667, 0.333, 0.500], [0.000, 0.000, 0.500]]}

Record 4
{"formula": "Zr2TlN", "functional": "PBE", "state": "relaxed", "e_form_raw_ev_per_fu": -2.13, "lattice": [[-3.341, 3.341, 3.632], [3.341, -3.341, 3.632], [3.341, 3.341, -3.632]], "species": ["Zr", "Zr", "Zr", "Zr", "Tl", "Tl", "N", "N"], "frac_coords": [[0.018, 0.625, 0.893], [0.375, 0.268, 0.393], [0.732, 0.125, 0.107], [0.875, 0.982, 0.607], [0.250, 0.750, 0.500], [0.500, 0.500, 0.000], [0.000, 0.000, 0.000], [0.750, 0.250, 0.500]]}

Record 5
{"formula": "Pr2GaNi2Rh5", "functional": "PBE", "state": "relaxed", "delta_e_f_ev_per_atom": -0.43, "lattice": [[9.378, 0.000, 0.000], [0.000, 9.378, 0.000], [0.000, 0.000, 3.829]], "species": ["Pr", "Pr", "Pr", "Pr", "Ga", "Ga", "Ni", "Ni", "Ni", "Ni", "Rh", "Rh", "Rh", "Rh", "Rh", "Rh", "Rh", "Rh", "Rh", "Rh"], "frac_coords": [[0.176, 0.324, 0.000], [0.324, 0.824, 0.000], [0.676, 0.176, 0.000], [0.824, 0.676, 0.000], [0.000, 0.000, 0.000], [0.500, 0.500, 0.000], [0.123, 0.623, 0.000], [0.377, 0.123, 0.000], [0.623, 0.877, 0.000], [0.877, 0.377, 0.000], [0.000, 0.500, 0.500], [0.064, 0.796, 0.500], [0.204, 0.064, 0.500], [0.296, 0.564, 0.500], [0.436, 0.296, 0.500], [0.500, 0.000, 0.500], [0.564, 0.704, 0.500], [0.704, 0.436, 0.500], [0.796, 0.936, 0.500], [0.936, 0.204, 0.500]]}

Record 6
{"formula": "Np2Se3", "functional": "PBE", "state": "relaxed", "e_form_raw_ev_per_fu": -5.42, "lattice": [[2.077, 1.199, 9.970], [-2.077, 1.199, 9.970], [0.000, -2.399, 9.970]], "species": ["Np", "Np", "Se", "Se", "Se"], "frac_coords": [[0.108, 0.108, 0.108], [0.892, 0.892, 0.892], [0.274, 0.274, 0.274], [0.500, 0.500, 0.500], [0.726, 0.726, 0.726]]}

Record 7
{"formula": "Na3In3Sn5", "functional": "PBE", "state": "relaxed", "delta_e_f_ev_per_atom": 0.13, "lattice": [[9.293, 0.000, 0.000], [-4.647, 8.048, 0.000], [0.000, 0.000, 5.222]], "species": ["Na", "Na", "Na", "In", "In", "In", "Sn", "Sn", "Sn", "Sn", "Sn"], "frac_coords": [[0.000, 0.423, 0.000], [0.423, 0.000, 0.000], [0.577, 0.577, 0.000], [0.000, 0.194, 0.500], [0.194, 0.000, 0.500], [0.806, 0.806, 0.500], [0.000, 0.626, 0.500], [0.333, 0.667, 0.500], [0.374, 0.374, 0.500], [0.626, 0.000, 0.500], [0.667, 0.333, 0.500]]}

Record 8
{"formula": "Na2AlZn12Cu3", "functional": "PBE", "state": "relaxed", "delta_e_f_ev_per_atom": 0.14, "lattice": [[4.539, 2.621, 4.192], [-4.539, 2.621, 4.192], [0.000, -5.241, 4.192]], "species": ["Na", "Na", "Al", "Zn", "Zn", "Zn", "Zn", "Zn", "Zn", "Zn", "Zn", "Zn", "Zn", "Zn", "Zn", "Cu", "Cu", "Cu"], "frac_coords": [[0.109, 0.109, 0.109], [0.891, 0.891, 0.891], [0.500, 0.500, 0.500], [0.125, 0.125, 0.541], [0.125, 0.541, 0.125], [0.213, 0.698, 0.698], [0.302, 0.302, 0.787], [0.302, 0.787, 0.302], [0.459, 0.875, 0.875], [0.541, 0.125, 0.125], [0.698, 0.213, 0.698], [0.698, 0.698, 0.213], [0.787, 0.302, 0.302], [0.875, 0.459, 0.875], [0.875, 0.875, 0.459], [0.000, 0.500, 0.500], [0.500, 0.000, 0.500], [0.500, 0.500, 0.000]]}

Per-record volume, A^3/atom: 33.5 14.2 18.3 20.3 16.8 29.8 35.5 16.6
Per-record final energy, eV per atom: -4.95 -5.77 -10.58 -7.48 -6.52 -8.35 -2.80 -1.75